w:
The following is a DFT calculation (GGA-PBE) of a geometry-optimized Sc structure.

Output
Fermi-level density of states in states/eV per cell: 1.60
Size of the total moment in Bohr magnetons per cell: 0.69

Cell: 3.1184 3.1184 2.9892 Å, 90.00 90.00 120.00°
Last column: magnetic moment on the atom in μB.
Positions (direct):
Sc1 0.0000 0.0000 0.0000  0.46

x:
The following is a DFT calculation (GGA-PBE) of a geometry-optimized Sc structure.

Output
Fermi-level density of states in states/eV per cell: 3.45
Size of the total moment in Bohr magnetons per cell: 0.85

Cell: 3.3110 3.3104 5.1670 Å, 90.00 90.00 120.01°
Last column: magnetic moment on the atom in μB.
Positions (direct):
Sc1 0.8332 0.6664 0.2500  0.23
Sc2 0.1668 0.3336 0.7500  0.23

y:
The following is a DFT calculation (GGA-PBE) of a geometry-optimized Sc structure.

Output
Fermi-level density of states in states/eV per cell: 7.30
Size of the total moment in Bohr magnetons per cell: 0.00

Cell: 5.1285 5.1285 5.1285 Å, 106.12 106.12 116.41°
Positions (direct):
Sc1 0.6644 0.1644 0.8287
Sc2 0.8356 0.6644 0.5000
Sc3 0.3356 0.8356 0.1713
Sc4 0.1644 0.3356 0.5000

z:
The following is a DFT calculation (GGA-PBE) of a geometry-optimized Sc structure.

Output
Fermi-level density of states in states/eV per cell: 11.93
Size of the total moment in Bohr magnetons per cell: 0.00

Cell: 3.2332 3.2332 16.2806 Å, 90.00 90.00 120.00°
Positions (direct):
Sc1 0.4982 0.0000 0.0000
Sc2 0.4982 0.4982 0.1667
Sc3 0.0000 0.4982 0.3333
Sc4 0.5018 0.5018 0.6667
Sc5 0.0000 0.5018 0.8333
Sc6 0.5018 0.0000 0.5000

Quick one: least stable of them? w

w:
The following is a DFT calculation (GGA-PBE) of a geometry-optimized Sc structure.

Output
Fermi-level density of states in states/eV per cell: 6.00
Size of the total moment in Bohr magnetons per cell: 0.00

Cell: 3.2259 5.1106 5.1106 Å, 120.00 90.00 90.00°
Positions (direct):
Sc1 0.5000 0.6667 0.3333
Sc2 0.0000 0.0000 0.0000
Sc3 0.5000 0.3333 0.6667

x:
The following is a DFT calculation (GGA-PBE) of a geometry-optimized Sc structure.

Output
Fermi-level density of states in states/eV per cell: 3.99
Size of the total moment in Bohr magnetons per cell: 0.04

Cell: 5.2387 5.2387 2.8362 Å, 90.00 90.00 120.00°
Positions (direct):
Sc1 0.3333 0.6667 0.5000
Sc2 0.6667 0.3333 0.5000

Quick one: least stable of them? x